Cs2HoU2S6 | PBE | relaxed

The space group is C2/m (No. 12) and the conventional cell measures 6.993, 12.112 and 8.580 Å, with angles of 90.00, 105.46 and 90.00 degrees. The asymmetric unit holds Cs at (0.000, 0.166, 0.000), Ho at (0.000, 0.000, 0.500), U at (0.000, 0.334, 0.500), S at (0.224, 0.168, 0.676) and S at (0.225, 0.500, 0.677).

The value obtained for the theoretical density is 5.21 g/cm³. As for the raw formation energy: -1.584 eV per atom. For the magnetization, the calculation gives 0.45 μB per atom.

=====

Cs4Ho3US8 | PBE | relaxed

The space group is R-3m (No. 166, hexagonal axes) and the conventional cell measures 8.1990, 8.1990 and 24.2026 Å, with angles of 90.00, 90.00 and 120.00 degrees. The asymmetric unit holds Cs at (0.0000, 0.0000, 0.0000), Cs at (0.0000, 0.5000, 0.0000), Ho at (0.0000, 0.5000, 0.5000), U at (0.0000, 0.0000, 0.5000), S at (0.0000, 0.0000, 0.2269) and S at (0.0016, 0.5008, 0.7729).

The value obtained for the theoretical density is 5.38 g/cm³. As for the raw formation energy: -1.692 eV per atom. For the magnetization, the calculation gives 0.18 μB per atom.

=====

Cs3Ho3US8 | PBE | relaxed

The space group is R-3m (No. 166, hexagonal axes) and the conventional cell measures 8.0880, 8.0880 and 24.6036 Å, with angles of 90.00, 90.00 and 120.00 degrees. The asymmetric unit holds Cs at (0.0000, 0.5000, 0.0000), Ho at (0.0000, 0.5000, 0.5000), U at (0.0000, 0.0000, 0.5000), S at (0.0000, 0.0000, 0.2262) and S at (0.0042, 0.5021, 0.2255).

The value obtained for the theoretical density is 4.96 g/cm³. As for the raw formation energy: -1.765 eV per atom. For the magnetization, the calculation gives 0.13 μB per atom.

=====

CsHoVS4 | PBE | relaxed

The space group is P2_1/m (No. 11) and the conventional cell measures 6.537, 6.806 and 9.459 Å, with angles of 90.00, 108.25 and 90.00 degrees. The asymmetric unit holds Cs at (0.244, 0.250, 0.443), Ho at (0.292, 0.250, 0.958), V at (0.256, 0.750, 0.153), S at (0.050, 0.750, 0.925), S at (0.061, 0.750, 0.304) and S at (0.497, 0.504, 0.187).

The value obtained for the theoretical density is 3.96 g/cm³. As for the raw formation energy: -1.385 eV per atom. For the magnetization, the calculation gives 0.14 μB per atom.

=====

Cs3Y2HoS6 | PBE | relaxed

The space group is C2/m (No. 12) and the conventional cell measures 7.108, 12.311 and 8.405 Å, with angles of 90.00, 106.37 and 90.00 degrees. The asymmetric unit holds Cs at (0.000, 0.000, 0.000), Cs at (0.000, 0.333, 0.000), Y at (0.000, 0.167, 0.500), Ho at (0.000, 0.500, 0.500), S at (0.226, 0.334, 0.682) and S at (0.229, 0.000, 0.682).

The value obtained for the theoretical density is 4.40 g/cm³. As for the raw formation energy: -1.836 eV per atom. For the magnetization, the calculation gives 0.00 μB per atom.

=====

Cs3YHo2S6 | PBE | relaxed

The space group is C2/m (No. 12) and the conventional cell measures 7.094, 12.286 and 8.402 Å, with angles of 90.00, 106.35 and 90.00 degrees. The asymmetric unit holds Cs at (0.000, 0.000, 0.000), Cs at (0.000, 0.333, 0.000), Y at (0.000, 0.500, 0.500), Ho at (0.000, 0.167, 0.500), S at (0.226, 0.000, 0.681) and S at (0.228, 0.333, 0.681).

The value obtained for the theoretical density is 4.77 g/cm³. As for the raw formation energy: -1.834 eV per atom. For the magnetization, the calculation gives 0.00 μB per atom.

=====

Q: Look up the raw formation energy of the sixth one.
A: -1.834 eV per atom

=====

What did the fourth record say?
CsHoVS4 | PBE | relaxed

The space group is P2_1/m (No. 11) and the conventional cell measures 6.537, 6.806 and 9.459 Å, with angles of 90.00, 108.25 and 90.00 degrees. The asymmetric unit holds Cs at (0.244, 0.250, 0.443), Ho at (0.292, 0.250, 0.958), V at (0.256, 0.750, 0.153), S at (0.050, 0.750, 0.925), S at (0.061, 0.750, 0.304) and S at (0.497, 0.504, 0.187).

The value obtained for the theoretical density is 3.96 g/cm³. As for the raw formation energy: -1.385 eV per atom. For the magnetization, the calculation gives 0.14 μB per atom.